# PBE Ta4ZnGeN2, optimized geometry
data_Ta4ZnGeN2
_space_group_name_H-M_alt 'P -6 m 2'
_space_group_IT_number 187
_space_group_name_Hall 'P -6 2'
_cell_length_a 3.1494
_cell_length_b 3.1494
_cell_length_c 13.0848
_cell_angle_alpha 90.00
_cell_angle_beta 90.00
_cell_angle_gamma 120.00
loop_
_atom_site_label
_atom_site_fract_x
_atom_site_fract_y
_atom_site_fract_z
Ta1 0.0000 0.0000 0.1540
Ta2 0.3333 0.6667 0.3359
Zn1 0.0000 0.0000 0.5000
Ge1 0.3333 0.6667 0.0000
N1 0.6667 0.3333 0.2460
# - E: -9.237 eV/atom
# - Magnetization: 0.00 μB per cell



# PBE TmTlHg, optimized geometry
data_TmTlHg
_space_group_name_H-M_alt 'F -4 3 m'
_space_group_IT_number 216
_space_group_name_Hall 'F -4 2 3'
_cell_length_a 7.052
_cell_length_b 7.052
_cell_length_c 7.052
_cell_angle_alpha 90.00
_cell_angle_beta 90.00
_cell_angle_gamma 90.00
loop_
_atom_site_label
_atom_site_fract_x
_atom_site_fract_y
_atom_site_fract_z
Tm1 0.000 0.000 0.000
Tl1 0.250 0.250 0.250
Hg1 0.250 0.250 0.750
# - Energy above the lowest structure with this stoichiometry: 0.091 eV per atom
# - Magnetization: 0.00 μB per cell



# PBE Nd2InGe, optimized geometry
data_Nd2InGe
_space_group_name_H-M_alt 'A m m 2'
_space_group_IT_number 38
_space_group_name_Hall 'A 2 -2'
_cell_length_a 4.257
_cell_length_b 4.590
_cell_length_c 11.548
_cell_angle_alpha 90.00
_cell_angle_beta 90.00
_cell_angle_gamma 90.00
loop_
_atom_site_label
_atom_site_fract_x
_atom_site_fract_y
_atom_site_fract_z
Nd1 0.000 0.000 0.000
Nd2 0.500 0.000 0.282
In1 0.500 0.000 0.567
Ge1 0.000 0.000 0.728
# - E: -4.874 eV/atom
# - Magnetization: 0.65 μB per cell



# PBE Sc2Cu2B, optimized geometry
data_Sc2Cu2B
_space_group_name_H-M_alt 'I 4/m m m'
_space_group_IT_number 139
_space_group_name_Hall '-I 4 2'
_cell_length_a 5.129
_cell_length_b 5.129
_cell_length_c 6.232
_cell_angle_alpha 90.00
_cell_angle_beta 90.00
_cell_angle_gamma 90.00
loop_
_atom_site_label
_atom_site_fract_x
_atom_site_fract_y
_atom_site_fract_z
Sc1 0.000 0.500 0.250
Cu1 0.000 0.000 0.180
B1 0.000 0.000 0.500
# - E: -5.090 eV/atom
# - Magnetization: 1.19 μB per cell



# PBE TbEr2Zn3NiAg2, optimized geometry
data_TbEr2Zn3NiAg2
_space_group_name_H-M_alt 'A m m 2'
_space_group_IT_number 38
_space_group_name_Hall 'A 2 -2'
_cell_length_a 3.999
_cell_length_b 12.474
_cell_length_c 7.175
_cell_angle_alpha 90.00
_cell_angle_beta 90.00
_cell_angle_gamma 90.00
loop_
_atom_site_label
_atom_site_fract_x
_atom_site_fract_y
_atom_site_fract_z
Tb1 0.000 0.000 0.000
Er1 0.000 0.195 0.590
Zn1 0.500 0.000 0.623
Zn2 0.500 0.115 0.280
Ni1 0.000 0.000 0.396
Ag1 0.500 0.169 0.893
# - DFT formation energy: -0.355 eV/atom
# - Magnetization: 0.01 μB per cell



# PBE LiTlNiAu, optimized geometry
data_LiTlNiAu
_space_group_name_H-M_alt 'F -4 3 m'
_space_group_IT_number 216
_space_group_name_Hall 'F -4 2 3'
_cell_length_a 6.331
_cell_length_b 6.331
_cell_length_c 6.331
_cell_angle_alpha 90.00
_cell_angle_beta 90.00
_cell_angle_gamma 90.00
loop_
_atom_site_label
_atom_site_fract_x
_atom_site_fract_y
_atom_site_fract_z
Li1 0.000 0.000 0.000
Tl1 0.250 0.250 0.250
Ni1 0.000 0.000 0.500
Au1 0.250 0.250 0.750
# - E: -3.425 eV/atom
# - Magnetization: 0.00 μB per cell



# PBE HoInBi, optimized geometry
data_HoInBi
_space_group_name_H-M_alt 'F -4 3 m'
_space_group_IT_number 216
_space_group_name_Hall 'F -4 2 3'
_cell_length_a 7.442
_cell_length_b 7.442
_cell_length_c 7.442
_cell_angle_alpha 90.00
_cell_angle_beta 90.00
_cell_angle_gamma 90.00
loop_
_atom_site_label
_atom_site_fract_x
_atom_site_fract_y
_atom_site_fract_z
Ho1 0.000 0.000 0.000
In1 0.000 0.000 0.500
Bi1 0.250 0.250 0.250
# - E: -3.827 eV/atom
# - Magnetization: 0.06 μB per cell



# PBE HfTlTe, optimized geometry
data_HfTlTe
_space_group_name_H-M_alt 'F -4 3 m'
_space_group_IT_number 216
_space_group_name_Hall 'F -4 2 3'
_cell_length_a 7.025
_cell_length_b 7.025
_cell_length_c 7.025
_cell_angle_alpha 90.00
_cell_angle_beta 90.00
_cell_angle_gamma 90.00
loop_
_atom_site_label
_atom_site_fract_x
_atom_site_fract_y
_atom_site_fract_z
Hf1 0.000 0.000 0.000
Tl1 0.000 0.000 0.500
Te1 0.250 0.250 0.250
# - Energy above the lowest structure with this stoichiometry: 0.000 eV per atom
# - Magnetization: 0.06 μB per cell



# PBE Hf2CuPd, optimized geometry
data_Hf2CuPd
_space_group_name_H-M_alt 'F -4 3 m'
_space_group_IT_number 216
_space_group_name_Hall 'F -4 2 3'
_cell_length_a 6.503
_cell_length_b 6.503
_cell_length_c 6.503
_cell_angle_alpha 90.00
_cell_angle_beta 90.00
_cell_angle_gamma 90.00
loop_
_atom_site_label
_atom_site_fract_x
_atom_site_fract_y
_atom_site_fract_z
Hf1 0.000 0.000 0.000
Hf2 0.250 0.250 0.250
Cu1 0.000 0.000 0.500
Pd1 0.250 0.250 0.750
# - DFT formation energy: -0.065 eV/atom
# - Magnetization: 4.02 μB per cell



# PBE ZnHgTeO, optimized geometry
data_ZnHgTeO
_space_group_name_H-M_alt 'P 4/n m m'
_space_group_IT_number 129
_cell_length_a 4.038
_cell_length_b 4.038
_cell_length_c 12.025
_cell_angle_alpha 90.00
_cell_angle_beta 90.00
_cell_angle_gamma 90.00
loop_
_space_group_symop_operation_xyz
'x,y,z'
'-x,-y,-z'
'-y+1/2,x,z'
'y+1/2,-x,-z'
'-x+1/2,-y+1/2,z'
'x+1/2,y+1/2,-z'
'y,-x+1/2,z'
'-y,x+1/2,-z'
'x+1/2,-y,-z'
'-x+1/2,y,z'
'-y,-x,-z'
'y,x,z'
'-x,y+1/2,-z'
'x,-y+1/2,z'
'y+1/2,x+1/2,-z'
'-y+1/2,-x+1/2,z'
loop_
_atom_site_label
_atom_site_fract_x
_atom_site_fract_y
_atom_site_fract_z
Zn1 0.250 0.250 0.076
Hg1 0.250 0.250 0.729
Te1 0.250 0.750 0.500
O1 0.250 0.250 0.921
# - Energy above the lowest structure with this stoichiometry: 0.710 eV per atom



# PBE Ba3NaIr, optimized geometry
data_Ba3NaIr
_space_group_name_H-M_alt 'P m -3 m'
_space_group_IT_number 221
_space_group_name_Hall '-P 4 2 3'
_cell_length_a 6.201
_cell_length_b 6.201
_cell_length_c 6.201
_cell_angle_alpha 90.00
_cell_angle_beta 90.00
_cell_angle_gamma 90.00
loop_
_atom_site_label
_atom_site_fract_x
_atom_site_fract_y
_atom_site_fract_z
Ba1 0.000 0.000 0.500
Na1 0.500 0.500 0.500
Ir1 0.000 0.000 0.000
# - E: -3.287 eV/atom
# - Magnetization: 0.00 μB per cell



# PBE SmTmZn, optimized geometry
data_SmTmZn
_space_group_name_H-M_alt 'F -4 3 m'
_space_group_IT_number 216
_space_group_name_Hall 'F -4 2 3'
_cell_length_a 7.009
_cell_length_b 7.009
_cell_length_c 7.009
_cell_angle_alpha 90.00
_cell_angle_beta 90.00
_cell_angle_gamma 90.00
loop_
_atom_site_label
_atom_site_fract_x
_atom_site_fract_y
_atom_site_fract_z
Sm1 0.000 0.000 0.000
Tm1 0.000 0.000 0.500
Zn1 0.250 0.250 0.250
# - DFT formation energy: 0.021 eV/atom
# - Energy above the lowest structure with this stoichiometry: 0.000 eV per atom
# - Magnetization: 0.07 μB per cell



# PBE KNp2F8, optimized geometry
data_KNp2F8
_space_group_name_H-M_alt 'C 1 2/m 1'
_space_group_IT_number 12
_space_group_name_Hall '-C 2y'
_cell_length_a 11.283
_cell_length_b 7.048
_cell_length_c 4.043
_cell_angle_alpha 90.00
_cell_angle_beta 105.38
_cell_angle_gamma 90.00
loop_
_atom_site_label
_atom_site_fract_x
_atom_site_fract_y
_atom_site_fract_z
K1 0.000 0.000 0.000
Np1 0.173 0.500 0.382
F1 0.054 0.500 0.796
F2 0.138 0.196 0.483
F3 0.226 0.000 0.041
# - E: -7.158 eV/atom
# - Magnetization: 14.00 μB per cell



# PBE LuTc, optimized geometry
data_LuTc
_space_group_name_H-M_alt 'F m -3 m'
_space_group_IT_number 225
_space_group_name_Hall '-F 4 2 3'
_cell_length_a 5.554
_cell_length_b 5.554
_cell_length_c 5.554
_cell_angle_alpha 90.00
_cell_angle_beta 90.00
_cell_angle_gamma 90.00
loop_
_atom_site_label
_atom_site_fract_x
_atom_site_fract_y
_atom_site_fract_z
Lu1 0.000 0.000 0.000
Tc1 0.000 0.000 0.500
# - DFT formation energy: 0.839 eV/atom
# - Magnetization: 2.68 μB per cell



# PBE Sc5In3Cu, optimized geometry
data_Sc5In3Cu
_space_group_name_H-M_alt 'P 63/m c m'
_space_group_IT_number 193
_space_group_name_Hall '-P 6c 2'
_cell_length_a 8.6694
_cell_length_b 8.6694
_cell_length_c 6.1613
_cell_angle_alpha 90.00
_cell_angle_beta 90.00
_cell_angle_gamma 120.00
loop_
_atom_site_label
_atom_site_fract_x
_atom_site_fract_y
_atom_site_fract_z
Sc1 0.0000 0.2612 0.2500
Sc2 0.3333 0.6667 0.0000
In1 0.0000 0.3889 0.7500
Cu1 0.0000 0.0000 0.0000
# - E: -5.206 eV/atom
# - Magnetization: 0.01 μB per cell



# PBE SmDyNO, optimized geometry
data_SmDyNO
_space_group_name_H-M_alt 'P b c m'
_space_group_IT_number 57
_space_group_name_Hall '-P 2c 2b'
_cell_length_a 8.149
_cell_length_b 6.708
_cell_length_c 4.993
_cell_angle_alpha 90.00
_cell_angle_beta 90.00
_cell_angle_gamma 90.00
loop_
_atom_site_label
_atom_site_fract_x
_atom_site_fract_y
_atom_site_fract_z
Sm1 0.124 0.069 0.250
Dy1 0.376 0.584 0.250
N1 0.380 0.576 0.750
O1 0.139 0.089 0.750
# - Energy above the lowest structure with this stoichiometry: 0.020 eV per atom
# - Magnetization: 0.01 μB per cell



# PBE PmPaAl, optimized geometry
data_PmPaAl
_space_group_name_H-M_alt 'F -4 3 m'
_space_group_IT_number 216
_space_group_name_Hall 'F -4 2 3'
_cell_length_a 7.017
_cell_length_b 7.017
_cell_length_c 7.017
_cell_angle_alpha 90.00
_cell_angle_beta 90.00
_cell_angle_gamma 90.00
loop_
_atom_site_label
_atom_site_fract_x
_atom_site_fract_y
_atom_site_fract_z
Pm1 0.000 0.000 0.000
Pa1 0.000 0.000 0.500
Al1 0.250 0.250 0.750
# - Energy above the lowest structure with this stoichiometry: 0.000 eV per atom
# - Magnetization: 0.17 μB per cell



# PBE YBe2Mo, optimized geometry
data_YBe2Mo
_space_group_name_H-M_alt 'F -4 3 m'
_space_group_IT_number 216
_space_group_name_Hall 'F -4 2 3'
_cell_length_a 6.324
_cell_length_b 6.324
_cell_length_c 6.324
_cell_angle_alpha 90.00
_cell_angle_beta 90.00
_cell_angle_gamma 90.00
loop_
_atom_site_label
_atom_site_fract_x
_atom_site_fract_y
_atom_site_fract_z
Y1 0.000 0.000 0.000
Be1 0.000 0.000 0.500
Be2 0.250 0.250 0.250
Mo1 0.250 0.250 0.750
# - E: -5.418 eV/atom
# - Magnetization: 3.33 μB per cell



# PBE BeCu2Si, optimized geometry
data_BeCu2Si
_space_group_name_H-M_alt 'P m -3 m'
_space_group_IT_number 221
_space_group_name_Hall '-P 4 2 3'
_cell_length_a 5.637
_cell_length_b 5.637
_cell_length_c 5.637
_cell_angle_alpha 90.00
_cell_angle_beta 90.00
_cell_angle_gamma 90.00
loop_
_atom_site_label
_atom_site_fract_x
_atom_site_fract_y
_atom_site_fract_z
Be1 0.000 0.000 0.000
Be2 0.000 0.000 0.500
Cu1 0.236 0.236 0.236
Si1 0.000 0.500 0.500
Si2 0.500 0.500 0.500
# - E: -4.062 eV/atom



# PBE YHfNiAs, optimized geometry
data_YHfNiAs
_space_group_name_H-M_alt 'F -4 3 m'
_space_group_IT_number 216
_space_group_name_Hall 'F -4 2 3'
_cell_length_a 6.709
_cell_length_b 6.709
_cell_length_c 6.709
_cell_angle_alpha 90.00
_cell_angle_beta 90.00
_cell_angle_gamma 90.00
loop_
_atom_site_label
_atom_site_fract_x
_atom_site_fract_y
_atom_site_fract_z
Y1 0.000 0.000 0.000
Hf1 0.250 0.250 0.250
Ni1 0.250 0.250 0.750
As1 0.000 0.000 0.500
# - E: -6.478 eV/atom
# - Magnetization: 0.21 μB per cell